# 1
Computed, not measured: a relaxed SrLiNb2S crystal at the GGA-PBE level of DFT.

Results
- E_form (uncorrected) (meV per atom) = 1952
- spin magnetization (μB/cell) = 1.76

Cell and atoms, written as CIF:
```
data_SrLiNb2S
_symmetry_space_group_name_H-M 'P 4/m m m'
_symmetry_Int_Tables_number 123
_symmetry_space_group_name_Hall '-P 4 2'
_cell_length_a 5.1283
_cell_length_b 5.1283
_cell_length_c 5.4116
_cell_angle_alpha 90.00
_cell_angle_beta 90.00
_cell_angle_gamma 90.00
loop_
_atom_site_label
_atom_site_type_symbol
_atom_site_fract_x
_atom_site_fract_y
_atom_site_fract_z
Sr1 Sr 0.0000 0.0000 0.0000
Li1 Li 0.5000 0.5000 0.5000
Nb1 Nb 0.0000 0.5000 0.0000
S1 S 0.0000 0.0000 0.5000
```

***

# 2
Computed, not measured: a relaxed Y4AgBiS8 crystal at the GGA-PBE level of DFT.

Results
- E_form (uncorrected) (meV per atom) = -1530
- spin magnetization (μB/cell) = 0.00

Cell and atoms, written as CIF:
```
data_Y4AgBiS8
_symmetry_space_group_name_H-M 'R 3 m'
_symmetry_Int_Tables_number 160
_symmetry_space_group_name_Hall 'R 3 -2"'
_cell_length_a 8.0514
_cell_length_b 8.0514
_cell_length_c 19.9456
_cell_angle_alpha 90.00
_cell_angle_beta 90.00
_cell_angle_gamma 120.00
loop_
_atom_site_label
_atom_site_type_symbol
_atom_site_fract_x
_atom_site_fract_y
_atom_site_fract_z
Y1 Y 0.0000 0.0000 0.0000
Y2 Y 0.1710 0.3420 0.2071
Ag1 Ag 0.0000 0.0000 0.7442
Bi1 Bi 0.0000 0.0000 0.3831
S1 S 0.0000 0.0000 0.1328
S2 S 0.0000 0.0000 0.6148
S3 S 0.0145 0.5073 0.1290
S4 S 0.1750 0.3500 0.9522
```

***

# 3
Computed, not measured: a relaxed Ca2ScCd crystal at the GGA-PBE level of DFT.

Results
- spin magnetization (μB/cell) = 0.00
- E_form (eV/atom) = 0.00

Cell and atoms, written as CIF:
```
data_Ca2ScCd
_symmetry_space_group_name_H-M 'P m m m'
_symmetry_Int_Tables_number 47
_symmetry_space_group_name_Hall '-P 2 2'
_cell_length_a 4.3720
_cell_length_b 5.1375
_cell_length_c 5.1796
_cell_angle_alpha 90.00
_cell_angle_beta 90.00
_cell_angle_gamma 90.00
loop_
_atom_site_label
_atom_site_type_symbol
_atom_site_fract_x
_atom_site_fract_y
_atom_site_fract_z
Ca1 Ca 0.0000 0.0000 0.0000
Ca2 Ca 0.5000 0.5000 0.0000
Sc1 Sc 0.0000 0.5000 0.5000
Cd1 Cd 0.5000 0.0000 0.5000
```

***

# 4
Computed, not measured: a relaxed Th2Si3Ni4Ru crystal at the GGA-PBE level of DFT.

Results
- E_form (uncorrected) (meV per atom) = -678
- spin magnetization (μB/cell) = 0.00

Cell and atoms, written as CIF:
```
data_Th2Si3Ni4Ru
_symmetry_space_group_name_H-M 'P -4 m 2'
_symmetry_Int_Tables_number 115
_symmetry_space_group_name_Hall 'P -4 -2'
_cell_length_a 3.9987
_cell_length_b 3.9987
_cell_length_c 10.0123
_cell_angle_alpha 90.00
_cell_angle_beta 90.00
_cell_angle_gamma 90.00
loop_
_atom_site_label
_atom_site_type_symbol
_atom_site_fract_x
_atom_site_fract_y
_atom_site_fract_z
Th1 Th 0.0000 0.5000 0.2479
Si1 Si 0.0000 0.5000 0.8799
Si2 Si 0.5000 0.5000 0.5000
Ni1 Ni 0.0000 0.0000 0.0000
Ni2 Ni 0.0000 0.5000 0.6443
Ni3 Ni 0.5000 0.5000 0.0000
Ru1 Ru 0.0000 0.0000 0.5000
```